The following is a GGA+U calculation of crystalline MnP3H10C3NO9 at its relaxed geometry, from the Alexandria database.

Structure (POSCAR):
```
MnP3H10C3NO9
1.0
9.376 0.000 0.000
0.000 8.522 0.000
-7.301 0.000 13.445
Mn P H C N O
4 12 40 12 4 36
direct
0.036 0.036 0.255
0.036 0.464 0.755
0.964 0.536 0.245
0.964 0.964 0.745
0.075 0.196 0.945
0.075 0.304 0.445
0.295 0.178 0.755
0.295 0.322 0.255
0.336 0.706 0.915
0.336 0.794 0.415
0.664 0.206 0.585
0.664 0.294 0.085
0.705 0.678 0.745
0.705 0.822 0.245
0.925 0.696 0.555
0.925 0.804 0.055
0.036 0.633 0.462
0.036 0.867 0.962
0.156 0.066 0.593
0.156 0.434 0.093
0.302 0.110 0.102
0.302 0.390 0.602
0.305 0.542 0.377
0.305 0.958 0.877
0.339 0.534 0.168
0.339 0.966 0.668
0.343 0.071 0.532
0.343 0.429 0.032
0.361 0.140 0.009
0.361 0.360 0.509
0.416 0.543 0.818
0.416 0.957 0.318
0.423 0.744 0.790
0.423 0.756 0.290
0.477 0.744 0.109
0.477 0.756 0.609
0.523 0.244 0.391
0.523 0.256 0.891
0.577 0.244 0.710
0.577 0.256 0.210
0.584 0.043 0.682
0.584 0.457 0.182
0.639 0.640 0.491
0.639 0.860 0.991
0.657 0.571 0.968
0.657 0.929 0.468
0.661 0.034 0.332
0.661 0.466 0.832
0.695 0.042 0.123
0.695 0.458 0.623
0.698 0.610 0.398
0.698 0.890 0.898
0.844 0.566 0.907
0.844 0.934 0.407
0.964 0.133 0.038
0.964 0.367 0.538
0.285 0.083 0.645
0.285 0.417 0.145
0.289 0.189 0.042
0.289 0.311 0.542
0.455 0.659 0.851
0.455 0.841 0.351
0.545 0.159 0.649
0.545 0.341 0.149
0.711 0.689 0.458
0.711 0.811 0.958
0.715 0.583 0.855
0.715 0.917 0.355
0.363 0.155 0.587
0.363 0.345 0.087
0.637 0.655 0.913
0.637 0.845 0.413
0.029 0.727 0.500
0.029 0.773 0.000
0.038 0.033 0.898
0.038 0.467 0.398
0.056 0.164 0.380
0.056 0.336 0.880
0.164 0.668 0.836
0.164 0.832 0.336
0.208 0.054 0.785
0.208 0.446 0.285
0.221 0.159 0.236
0.221 0.341 0.736
0.361 0.613 0.438
0.361 0.887 0.938
0.404 0.626 0.016
0.404 0.874 0.516
0.483 0.184 0.831
0.483 0.316 0.331
0.517 0.684 0.669
0.517 0.816 0.169
0.596 0.126 0.484
0.596 0.374 0.984
0.639 0.113 0.062
0.639 0.387 0.562
0.779 0.659 0.264
0.779 0.841 0.764
0.792 0.554 0.715
0.792 0.946 0.215
0.836 0.168 0.664
0.836 0.332 0.164
0.944 0.664 0.120
0.944 0.836 0.620
0.962 0.533 0.602
0.962 0.967 0.102
0.971 0.227 0.000
0.971 0.273 0.500
```

## Properties
Symmetry: P2_1/c, No. 14
Electronic total energy (eV/atom): -6.20
Density of states at the Fermi level (states/eV/atom): 0.00